A plane-wave DFT calculation with PBE was carried out for a relaxed PaPbN2 crystal.

## Properties
E_form (uncorrected) = -3.31 eV per formula unit
V = 19.273 Å³ per atom
relative energy among the computed polymorphs = 10.33 kJ/mol of atoms

Cell and atoms, written as CIF:
```
data_PaPbN2
_cell_length_a 3.5944
_cell_length_b 3.5944
_cell_length_c 20.6700
_cell_angle_alpha 90.00
_cell_angle_beta 90.00
_cell_angle_gamma 120.00
_space_group_name_H-M_alt 'R 3 m'
_space_group_IT_number 160
_space_group_name_Hall 'R 3 -2"'
loop_
_atom_site_label
_atom_site_fract_x
_atom_site_fract_y
_atom_site_fract_z
Pa1 0.0000 0.0000 0.0000
Pb1 0.0000 0.0000 0.8164
N1 0.0000 0.0000 0.3860
N2 0.0000 0.0000 0.6237
```